Here is Li2CrFeO4 after structural relaxation from Alexandria. Energies are from PBE with a Hubbard U.

extended XYZ file:
```
24
Lattice="4.963 -4.449 0.000 4.963 4.449 0.000 -0.887 0.000 5.060" Properties=species:S:1:pos:R:3 pbc="T T T"
Li 1.821 1.471 3.796
Li 2.264 0.000 1.254
Li 1.820 -1.498 3.798
Li 7.218 1.471 1.264
Li 6.775 0.000 3.806
Li 7.219 -1.498 1.263
Cr 4.519 1.470 2.530
Cr 4.963 -0.009 0.000
Cr 4.963 -2.969 0.000
Fe 4.519 4.436 2.530
Fe 4.963 2.958 0.000
Fe 4.519 -1.493 2.530
O 3.270 2.944 3.170
O 0.361 0.005 4.417
O 3.723 1.465 0.658
O 5.768 2.944 1.890
O 3.279 -0.004 3.189
O 5.316 1.465 4.403
O 3.722 -1.489 0.642
O 5.760 -0.004 1.871
O 3.270 -2.974 3.192
O 5.317 -1.489 4.418
O 8.678 0.005 0.643
O 5.769 -2.974 1.869
```

Calculated values
Space group: No. 5
Relative energy among the computed polymorphs (eV per atom): 0.000
V (Å³ per atom): 9.31